12
Lattice="6.498 0.000 0.000 -2.972 6.375 0.000 -0.267 -3.562 8.880" Properties=species:S:1:pos:R:3 comment="TaBrCl4 (PBE, optimized geometry)" total_energy_ev_per_cell=-56.84 sg=P-1 pbc="T T T"
Ta -0.020 0.617 1.991
Ta 3.278 2.196 6.889
Br 0.790 -2.218 8.473
Br 2.468 5.031 0.407
Cl -2.153 3.129 5.106
Cl -1.370 0.953 7.531
Cl 1.830 -0.773 2.202
Cl 1.027 2.406 2.936
Cl 2.231 0.407 5.944
Cl 1.429 3.586 6.678
Cl 4.628 1.860 1.348
Cl 5.412 -0.316 3.774

10
Lattice="6.272 -3.462 0.000 6.272 3.462 0.000 -5.526 0.000 6.395" Properties=species:S:1:pos:R:3 comment="TaBrCl3 (PBE, optimized geometry)" total_energy_ev_per_cell=-50.11 sg=C2/m pbc="T T T"
Ta 6.272 1.935 0.000
Ta 6.272 -1.935 0.000
Br 1.689 0.000 1.205
Br 5.328 0.000 5.190
Cl 2.090 1.777 4.513
Cl 4.928 1.777 1.882
Cl -0.592 0.000 5.434
Cl 7.609 0.000 0.961
Cl 2.090 -1.777 4.513
Cl 4.928 -1.777 1.882

12
Lattice="7.046 0.000 0.000 -3.247 6.743 0.000 -0.144 -4.004 9.249" Properties=species:S:1:pos:R:3 comment="TaBr4Cl (PBE, optimized geometry)" total_energy_ev_per_cell=-52.74 sg=P-1 pbc="T T T"
Ta -0.015 0.579 2.040
Ta 3.670 2.160 7.209
Br -1.369 0.832 7.808
Br 0.873 -2.668 8.874
Br 1.977 -0.890 2.265
Br 1.112 2.488 3.049
Br 2.544 0.251 6.200
Br 1.678 3.630 6.984
Br 2.782 5.407 0.375
Br 5.024 1.907 1.441
Cl -2.325 3.155 5.446
Cl 5.980 -0.415 3.803

10
Lattice="-3.498 4.201 4.813 3.498 -4.201 4.813 3.498 4.201 -4.813" Properties=species:S:1:pos:R:3 comment="TcBr2Cl2 (PBE, optimized geometry)" relative_energy_mev_per_atom=0 sg=Immm pbc="T T T"
Tc 1.534 0.000 0.000
Tc 5.462 0.000 0.000
Br 3.498 0.000 1.688
Br 0.000 0.000 1.989
Br 0.000 0.000 7.636
Br 0.000 4.201 3.124
Cl 1.643 2.303 0.000
Cl 1.854 -1.898 4.813
Cl 1.643 6.100 0.000
Cl 1.854 1.898 4.813

10
Lattice="6.227 -3.493 0.000 6.227 3.493 0.000 -5.488 0.000 6.410" Properties=species:S:1:pos:R:3 comment="TcBr2Cl2 (PBE, optimized geometry)" relative_energy_mev_per_atom=3 sg=C2/m pbc="T T T"
Tc 6.227 1.967 0.000
Tc 6.227 -1.967 0.000
Br 1.610 0.000 1.172
Br -0.622 0.000 5.412
Br 7.588 0.000 0.998
Br 5.356 0.000 5.238
Cl 2.095 1.850 4.545
Cl 4.870 1.850 1.865
Cl 2.095 -1.850 4.545
Cl 4.870 -1.850 1.865

10
Lattice="7.279 0.000 0.000 -3.370 7.101 0.000 -0.050 -3.908 7.306" Properties=species:S:1:pos:R:3 comment="TmTe2BrCl (PBE, optimized geometry)" total_energy_ev_per_cell=-41.07 sg=P-1 pbc="T T T"
Tm 0.066 2.438 0.004
Tm 3.793 0.754 7.302
Te 0.006 -0.011 2.184
Te 2.023 -0.055 0.433
Te 1.836 3.248 6.873
Te 3.853 3.203 5.122
Br 2.071 -0.560 5.542
Br 1.787 3.753 1.764
Cl -1.842 3.384 1.651
Cl 5.701 -0.192 5.655

For each record above, in turn, the calculated total magnetic moment values are 0.004 0.001 0.004 1.999 1.999 0.002 μB/f.u..